(1)
Compound: MgCd2Pd2
Source: Alexandria
Functional: GGA-PBE
Structure: optimized geometry

SG: I4/mmm, No. 139
Distance to the lowest polymorph of the same formula (meV/atom): 346
Energy of formation from the pure elements (meV per atom): -98

Lattice parameters (Å, degrees): 4.0263 4.0263 6.9817 73.24 73.24 90.00
Atoms (fractional coordinates):
Cd 0.6069 0.6069 0.7861
Pd 0.2500 0.7500 0.5000
Pd 0.7500 0.2500 0.5000
Mg 0.0000 0.0000 0.0000
Cd 0.3931 0.3931 0.2139

***

(2)
Compound: CuPCl3
Source: Alexandria
Functional: GGA-PBE
Structure: optimized geometry

SG: C2/c, No. 15
Distance to the lowest polymorph of the same formula (meV/atom): 0
Uncorrected formation energy (eV per atom): -0.33

Lattice parameters (Å, degrees): 5.6583 10.6927 10.6927 110.64 75.53 75.53
Last column: magnetic moment on the atom in μB.
Atoms (fractional coordinates):
Cl 0.8401 0.3850 0.8350  0.00
Cl 0.1844 0.2177 0.4480  0.00
Cu 0.2500 0.3447 0.6553  0.00
P 0.7608 0.2915 0.5139  0.00
Cl 0.6844 0.4480 0.2177  0.00
Cu 0.2500 0.9060 0.0940  0.09
Cu 0.7500 0.6553 0.3447  0.00
Cl 0.1321 0.9540 0.7576  0.01
P 0.2392 0.7085 0.4861  0.00
P 0.2608 0.5139 0.2915  0.00
Cl 0.8679 0.0460 0.2424  0.01
Cl 0.1599 0.6150 0.1650  0.00
Cl 0.6321 0.7576 0.9540  0.01
Cl 0.3156 0.5520 0.7823  0.00
Cl 0.6599 0.1650 0.6150  0.00
Cl 0.8156 0.7823 0.5520  0.00
P 0.7392 0.4861 0.7085  0.00
Cl 0.3679 0.2424 0.0460  0.01
Cu 0.7500 0.0940 0.9060  0.09
Cl 0.3401 0.8350 0.3850  0.00

***

(3)
Compound: NaLi2Ti3O6
Source: Alexandria
Functional: GGA-PBE
Structure: optimized geometry

SG: C2/m, No. 12
Uncorrected formation energy (eV per atom): -2.53

Lattice parameters (Å, degrees): 2.9497 6.2446 6.8872 107.30 102.37 90.00
Atoms (fractional coordinates):
O 0.6649 0.5875 0.3299
Na 0.5000 0.0000 0.0000
O 0.3351 0.4125 0.6701
O 0.6759 0.0682 0.3518
Ti 0.8338 0.1771 0.6677
O 0.0050 0.7288 0.0100
Ti 0.5000 0.5000 0.0000
O 0.9950 0.2712 0.9900
Li 0.1714 0.3410 0.3428
O 0.3241 0.9318 0.6482
Ti 0.1662 0.8229 0.3323
Li 0.8286 0.6590 0.6572

***

(4)
Compound: La3Nd6Sc
Source: Alexandria
Functional: GGA-PBE
Structure: optimized geometry

SG: C2/m, No. 12
Distance to the lowest polymorph of the same formula (meV/atom): 155
Energy of formation from the pure elements (meV per atom): 247

Lattice parameters (Å, degrees): 8.4353 9.1651 6.3373 97.96 131.72 90.00
Atoms (fractional coordinates):
Sc 0.5000 0.5000 0.0000
Nd 0.3088 0.3579 0.2427
La 0.2208 0.7531 0.4416
Nd 0.6165 0.8673 0.2330
La 0.7792 0.2469 0.5584
Nd 0.0661 0.6421 0.7573
La 0.0000 0.0000 0.0000
Nd 0.6912 0.6421 0.7573
Nd 0.3835 0.1327 0.7670
Nd 0.9339 0.3579 0.2427

***

(5)
Compound: CeP2PbO8
Source: Alexandria
Functional: GGA-PBE
Structure: optimized geometry

SG: R-3, No. 148
Uncorrected formation energy (eV per atom): -2.40

Lattice parameters (Å, degrees): 5.0301 5.0301 8.1421 72.01 72.01 60.00
Atoms (fractional coordinates):
O 0.2748 0.9797 0.1832
O 0.1814 0.1814 0.4558
P 0.2483 0.2483 0.2551
O 0.7252 0.0203 0.8168
P 0.7517 0.7517 0.7449
O 0.0203 0.4378 0.8168
O 0.4378 0.7252 0.8168
O 0.8186 0.8186 0.5442
O 0.9797 0.5622 0.1832
Ce 0.0000 0.0000 0.0000
O 0.5622 0.2748 0.1832
Pb 0.5000 0.5000 0.5000

***

(6)
Compound: Cs3La2USe6
Source: Alexandria
Functional: GGA-PBE
Structure: optimized geometry

SG: C2/m, No. 12
Uncorrected formation energy (eV per atom): -1.59

Lattice parameters (Å, degrees): 7.7074 7.7074 8.7769 98.42 98.42 120.00
Last column: magnetic moment on the atom in μB.
Atoms (fractional coordinates):
La 0.3335 0.6665 0.0000  0.04
Se 0.9369 0.6118 0.8105  -0.02
Se 0.7386 0.7386 0.1904  -0.02
Se 0.3882 0.0631 0.1895  -0.02
U 0.0000 0.0000 0.0000  2.70
La 0.6665 0.3335 0.0000  0.04
Se 0.0631 0.3882 0.1895  -0.02
Cs 0.5000 0.5000 0.5000  0.00
Se 0.6118 0.9369 0.8105  -0.02
Cs 0.1687 0.8313 0.5000  0.00
Cs 0.8313 0.1687 0.5000  0.00
Se 0.2614 0.2614 0.8096  -0.02

***

(7)
Compound: SmMnSe3
Source: Alexandria
Functional: GGA-PBE
Structure: optimized geometry

SG: P2_1/m, No. 11
Distance to the lowest polymorph of the same formula (meV/atom): 19
Uncorrected formation energy (eV per atom): -1.12

Lattice parameters (Å, degrees): 3.9824 7.3602 8.0295 94.67 90.00 90.00
Last column: magnetic moment on the atom in μB.
Atoms (fractional coordinates):
Se 0.2500 0.3754 0.5949  -0.10
Se 0.7500 0.2749 0.9541  0.00
Se 0.7500 0.0903 0.3384  -0.03
Sm 0.7500 0.6305 0.7886  0.06
Se 0.7500 0.6246 0.4051  -0.10
Mn 0.7500 0.1553 0.6568  3.79
Se 0.2500 0.9097 0.6616  -0.03
Sm 0.2500 0.3695 0.2114  0.06
Se 0.2500 0.7251 0.0459  0.00
Mn 0.2500 0.8447 0.3432  3.79

***

(8)
Compound: NdSm6Ho6
Source: Alexandria
Functional: GGA-PBE
Structure: optimized geometry

SG: P6/mmm, No. 191
Energy of formation from the pure elements (meV per atom): 265

Lattice parameters (Å, degrees): 6.6994 6.6994 11.4221 90.00 90.00 120.00
Last column: magnetic moment on the atom in μB.
Atoms (fractional coordinates):
Ho 0.5000 0.0000 0.7529  0.06
Sm 0.0000 0.0000 0.6518  0.07
Ho 0.5000 0.5000 0.7529  0.06
Ho 0.5000 0.0000 0.2471  0.06
Sm 0.0000 0.0000 0.3482  0.07
Sm 0.6667 0.3333 0.0000  0.01
Ho 0.0000 0.5000 0.7529  0.06
Sm 0.3333 0.6667 0.0000  0.01
Nd 0.0000 0.0000 0.0000  0.04
Sm 0.3333 0.6667 0.5000  0.10
Ho 0.0000 0.5000 0.2471  0.06
Ho 0.5000 0.5000 0.2471  0.06
Sm 0.6667 0.3333 0.5000  0.10

***

| no. | energy (eV per atom) | total magnetization (μB per formula unit) | V (A^3/atom) |
| --- | --- | --- | --- |
| 1 | -2.8598 | 0.0 | 20.669 |
| 2 | -3.3385 | 0.1 | 27.196 |
| 3 | -7.4138 | 0.0 | 9.836 |
| 4 | -4.7255 | 0.0 | 35.932 |
| 5 | -7.4098 | 0.0 | 13.890 |
| 6 | -5.3099 | 3.0 | 35.980 |
| 7 | -5.9854 | 4.0 | 23.458 |
| 8 | -4.3930 | 1.3 | 34.151 |